Record 1
The following is a DFT calculation (PBE) of a geometry-optimized OsC2 structure.

The structure in POSCAR format:
```
OsC2
1.0
3.476 -1.404 0.000
3.476 1.404 0.000
-0.489 0.000 5.703
Os C
2 4
direct
0.227 0.227 0.271
0.773 0.773 0.729
0.059 0.059 0.613
0.396 0.396 0.979
0.604 0.604 0.021
0.941 0.941 0.387
```



Record 2
The following is a DFT calculation (PBE) of a geometry-optimized CeTm2Ru structure.

The structure in POSCAR format:
```
CeTm2Ru
1.0
2.514 1.451 4.123
-2.514 1.451 4.123
0.000 -2.903 4.123
Ce Tm Ru
1 2 1
direct
0.000 0.000 0.000
0.250 0.250 0.250
0.750 0.750 0.750
0.500 0.500 0.500
```



Number 1: distance to the lowest polymorph of the same formula 7.80 kcal/mol of atoms, energy of formation from the pure elements 902 meV per atom. Number 2: distance to the lowest polymorph of the same formula 8.94 kcal/mol of atoms, energy of formation from the pure elements 41 meV per atom.